# 1
The following is a DFT calculation (PBE) of an optimized crystal structure of PbCN3.

- Crystal system: cubic
- D(E_F): 2.203 states/eV per cell
- Energy relative to the elements, uncorrected: 3.586 eV per atom
- Mass density: 5.2 g cm⁻³
- Symmetry: No. 221

Cell: 4.3685 4.3685 4.3685 Å, 90.00 90.00 90.00°
Fractional positions:
Pb 0.0000 0.0000 0.0000
C 0.5000 0.5000 0.5000
N 0.0000 0.0000 0.5000
N 0.0000 0.5000 0.0000
N 0.5000 0.0000 0.0000



# 2
The following is a DFT calculation (PBE) of an optimized crystal structure of Dy4HgPbSe2.

- Crystal system: monoclinic
- D(E_F): 3.646 states/eV per cell
- Energy relative to the elements, uncorrected: -1.104 eV per atom
- Mass density: 9.5 g cm⁻³
- Symmetry: No. 10

Cell: 6.9557 3.9840 8.0162 Å, 90.00 106.45 90.00°
Fractional positions:
Dy 0.2353 0.0000 0.2235
Dy 0.2554 0.5000 0.7752
Dy 0.7446 0.5000 0.2248
Dy 0.7647 0.0000 0.7765
Hg 0.0000 0.0000 0.5000
Pb 0.5000 0.5000 0.5000
Se 0.0000 0.5000 0.0000
Se 0.5000 0.0000 0.0000